# ZnCoPO, optimized geometry, DFT GGA+U
# Crystal system ... orthorhombic
# Magnetization ... 2.7 μB per formula unit
# Total energy ... -4.6357 eV/atom
# ρ ... 4.79 g cm⁻³
# Energy relative to the lowest polymorph listed for this composition ... 0 meV per atom
data_ZnCoPO
_chemical_formula_sum 'Zn2 Co2 P2 O2'
_cell_length_a 3.0687
_cell_length_b 6.6128
_cell_length_c 5.8572
_cell_angle_alpha 90.00
_cell_angle_beta 90.00
_cell_angle_gamma 90.00
_space_group_name_H-M_alt 'P m c 21'
_space_group_IT_number 26
_space_group_name_Hall 'P 2c -2'
loop_
_atom_site_label
_atom_site_fract_x
_atom_site_fract_y
_atom_site_fract_z
Zn1 0.0000 0.1377 0.0000
Co1 0.5000 0.2963 0.4356
P1 0.5000 0.3692 0.8217
O1 0.0000 0.1281 0.3411